[1]
The following is a DFT calculation (PBE-GGA) of a geometry-optimized Lu2TeO structure.

calculated total energy = -6.05 eV/atom
Fermi-level density of states = 3.39 states/eV per cell

Unit cell a=3.7008 b=3.7008 c=19.9812 alpha=90.00 beta=90.00 gamma=120.00
Space group R-3m (No. 166, hexagonal axes)
Asymmetric unit:
Lu1 0.0000 0.0000 0.2264 [6 per cell]
Te1 0.0000 0.0000 0.0000 [3 per cell]
O1 0.0000 0.0000 0.5000 [3 per cell]


[2]
The following is a DFT calculation (PBE-GGA) of a geometry-optimized Rb4Pu3InS8 structure.

calculated total energy = -6.52 eV/atom
Fermi-level density of states = 86.17 states/eV per cell

Unit cell a=8.2647 b=8.2647 c=22.8352 alpha=90.00 beta=90.00 gamma=120.00
Space group R-3m (No. 166, hexagonal axes)
Asymmetric unit:
Rb1 0.0000 0.0000 0.0000 [3 per cell]
Rb2 0.0000 0.5000 0.0000 [9 per cell]
Pu1 0.0000 0.5000 0.5000 [9 per cell]
In1 0.0000 0.0000 0.5000 [3 per cell]
S1 0.0000 0.0000 0.2296 [6 per cell]
S2 0.0026 0.5013 0.2296 [18 per cell]


Computed magnetization (μB/f.u.) in order:
0.00, 14.93